# 1
The following is a DFT calculation (PBEsol) of crystalline TaP4S10Cl5 at its relaxed geometry.

Output
The calculation puts the density of states at the Fermi level at 0.00 states/eV/atom. As for the space group: No. 2. For the uncorrected formation energy, the calculation gives -0.5012 eV per atom. For the uncorrected energy, the calculation gives -199.24 eV per cell.

a = 9.6805 Å, b = 11.0867 Å, c = 11.6515 Å
α = 70.79°, β = 67.65°, γ = 67.43°
Last column: nearest neighbours and their distance in Å.
Fractional coordinates of all 40 atoms:
Ta 0.0421 0.1320 0.3405  4 Cl 2.26-2.31
Ta 0.9579 0.8680 0.6595  4 Cl 2.26-2.31
P 0.0095 0.3272 0.7659  4 S 1.92-2.11
P 0.3009 0.0467 0.8414  4 S 1.92-2.10
P 0.3064 0.3546 0.8404  4 S 1.92-2.10
P 0.3818 0.2714 0.5600  4 S 1.92-2.10
P 0.6182 0.7286 0.4400  4 S 1.92-2.10
P 0.6936 0.6454 0.1596  4 S 1.92-2.10
P 0.6991 0.9533 0.1586  4 S 1.92-2.10
P 0.9905 0.6728 0.2341  4 S 1.92-2.11
S 0.0614 0.1230 0.8550  2 P 2.10-2.11
S 0.0665 0.4317 0.8548  2 P 2.10-2.11
S 0.1422 0.3488 0.5734  2 P 2.10
S 0.2092 0.6014 0.2213  1 P 1.92
S 0.3481 0.8612 0.9251  1 P 1.92
S 0.3557 0.4498 0.9234  1 P 1.92
S 0.3572 0.1511 0.9306  2 P 2.10
S 0.4337 0.0673 0.6490  2 P 2.10
S 0.4392 0.3760 0.6482  2 P 2.10
S 0.5005 0.2918 0.3839  1 P 1.92
S 0.4995 0.7082 0.6161  1 P 1.92
S 0.5608 0.6240 0.3518  2 P 2.10
S 0.5663 0.9327 0.3510  2 P 2.10
S 0.6428 0.8489 0.0694  2 P 2.10
S 0.6443 0.5502 0.0766  1 P 1.92
S 0.6519 0.1388 0.0749  1 P 1.92
S 0.7908 0.3986 0.7787  1 P 1.92
S 0.8578 0.6512 0.4266  2 P 2.10
S 0.9335 0.5683 0.1452  2 P 2.10-2.11
S 0.9386 0.8770 0.1450  2 P 2.10-2.11
Cl 0.0816 0.7857 0.8113  1 Ta 2.26
Cl 0.1348 0.7146 0.5385  1 Ta 2.31
Cl 0.1403 0.0117 0.5335  2 Ta 2.53-2.54
Cl 0.2088 0.9470 0.2576  1 Ta 2.31
Cl 0.2244 0.2410 0.2605  1 Ta 2.26
Cl 0.7756 0.7590 0.7395  1 Ta 2.26
Cl 0.7912 0.0530 0.7424  1 Ta 2.31
Cl 0.8597 0.9883 0.4665  2 Ta 2.53-2.54
Cl 0.8652 0.2854 0.4615  1 Ta 2.31
Cl 0.9184 0.2143 0.1887  1 Ta 2.26

# 2
The following is a DFT calculation (PBEsol) of crystalline TcP2SCl at its relaxed geometry.

Output
The calculation puts the density of states at the Fermi level at 0.55 states/eV/atom. As for the space group: No. 123. For the uncorrected formation energy, the calculation gives 0.5029 eV per atom. For the uncorrected energy, the calculation gives -26.73 eV per cell.

a = 4.5642 Å, b = 4.5642 Å, c = 4.5407 Å
α = 90.00°, β = 90.00°, γ = 90.00°
Last column: nearest neighbours and their distance in Å.
Fractional coordinates of all 5 atoms:
Tc 0.0000 0.0000 0.0000  2 Cl 2.27, 4 P 2.28
P 0.0000 0.5000 0.0000  2 Tc 2.28
P 0.5000 0.0000 0.0000  2 Tc 2.28
S 0.5000 0.5000 0.5000  8 P 3.22, 4 Cl 3.23
Cl 0.0000 0.0000 0.5000  2 Tc 2.27

# 3
The following is a DFT calculation (PBEsol) of crystalline ZnP2SCl at its relaxed geometry.

Output
The calculation puts the density of states at the Fermi level at 0.74 states/eV/atom. As for the space group: No. 123. For the uncorrected formation energy, the calculation gives 0.8789 eV per atom. For the uncorrected energy, the calculation gives -15.16 eV per cell. The energy above the most stable polymorph in this dataset is 50 meV per atom.

a = 4.6874 Å, b = 4.6874 Å, c = 4.4424 Å
α = 90.00°, β = 90.00°, γ = 90.00°
Last column: nearest neighbours and their distance in Å.
Fractional coordinates of all 5 atoms:
Zn 0.0000 0.0000 0.0000  2 S 2.22, 4 P 2.34
P 0.0000 0.5000 0.0000  2 Zn 2.34
P 0.5000 0.0000 0.0000  2 Zn 2.34
S 0.0000 0.0000 0.5000  2 Zn 2.22
Cl 0.5000 0.5000 0.5000  8 P 3.23, 4 S 3.31

# 4
The following is a DFT calculation (PBEsol) of crystalline ZnP2SCl at its relaxed geometry.

Output
The calculation puts the density of states at the Fermi level at 0.65 states/eV/atom. As for the space group: No. 123. For the uncorrected formation energy, the calculation gives 0.8286 eV per atom. For the uncorrected energy, the calculation gives -15.41 eV per cell. The energy above the most stable polymorph in this dataset is 0 meV per atom.

a = 4.6614 Å, b = 4.6614 Å, c = 4.4432 Å
α = 90.00°, β = 90.00°, γ = 90.00°
Last column: nearest neighbours and their distance in Å.
Fractional coordinates of all 5 atoms:
Zn 0.0000 0.0000 0.0000  2 Cl 2.22, 4 P 2.33
P 0.0000 0.5000 0.0000  2 Zn 2.33
P 0.5000 0.0000 0.0000  2 Zn 2.33
S 0.5000 0.5000 0.5000  8 P 3.22, 4 Cl 3.30
Cl 0.0000 0.0000 0.5000  2 Zn 2.22

# 5
The following is a DFT calculation (PBEsol) of crystalline ZrPSCl2 at its relaxed geometry.

Output
The calculation puts the density of states at the Fermi level at 0.40 states/eV/atom. As for the space group: No. 123. For the uncorrected formation energy, the calculation gives -0.4109 eV per atom. For the uncorrected energy, the calculation gives -25.34 eV per cell.

a = 5.0042 Å, b = 5.0042 Å, c = 4.9168 Å
α = 90.00°, β = 90.00°, γ = 90.00°
Last column: nearest neighbours and their distance in Å.
Fractional coordinates of all 5 atoms:
Zr 0.0000 0.0000 0.0000  2 S 2.46, 4 Cl 2.50
P 0.5000 0.5000 0.5000  8 Cl 3.51, 4 S 3.54
S 0.0000 0.0000 0.5000  2 Zr 2.46
Cl 0.0000 0.5000 0.0000  2 Zr 2.50
Cl 0.5000 0.0000 0.0000  2 Zr 2.50

# 6
The following is a DFT calculation (PBEsol) of crystalline SbPCl2 at its relaxed geometry.

Output
The calculation puts the density of states at the Fermi level at 0.25 states/eV/atom. As for the space group: No. 122. For the uncorrected formation energy, the calculation gives 0.0600 eV per atom. For the uncorrected energy, the calculation gives -56.50 eV per cell. The energy above the most stable polymorph in this dataset is 78 meV per atom.

a = 4.2666 Å, b = 4.2666 Å, c = 18.4788 Å
α = 90.00°, β = 90.00°, γ = 90.00°
Last column: nearest neighbours and their distance in Å.
Fractional coordinates of all 16 atoms:
Sb 0.0000 0.0000 0.0000  4 Cl 2.77, 4 P 3.02
Sb 0.0000 0.5000 0.2500  4 Cl 2.77, 4 P 3.02
Sb 0.5000 0.0000 0.7500  4 Cl 2.77, 4 P 3.02
Sb 0.5000 0.5000 0.5000  4 Cl 2.77, 4 P 3.02
P 0.0000 0.0000 0.5000  4 Cl 2.75, 4 Sb 3.02
P 0.0000 0.5000 0.7500  4 Cl 2.75, 4 Sb 3.02
P 0.5000 0.0000 0.2500  4 Cl 2.75, 4 Sb 3.02
P 0.5000 0.5000 0.0000  4 Cl 2.75, 4 Sb 3.02
Cl 0.2439 0.2500 0.6250  2 P 2.75, 2 Sb 2.77, 4 Cl 2.98-3.05
Cl 0.2500 0.7439 0.8750  2 P 2.75, 2 Sb 2.77, 4 Cl 2.98-3.05
Cl 0.2500 0.7561 0.3750  2 P 2.75, 2 Sb 2.77, 4 Cl 2.98-3.05
Cl 0.2561 0.2500 0.1250  2 P 2.75, 2 Sb 2.77, 4 Cl 2.98-3.05
Cl 0.7439 0.7500 0.1250  2 P 2.75, 2 Sb 2.77, 4 Cl 2.98-3.05
Cl 0.7500 0.2439 0.3750  2 P 2.75, 2 Sb 2.77, 4 Cl 2.98-3.05
Cl 0.7500 0.2561 0.8750  2 P 2.75, 2 Sb 2.77, 4 Cl 2.98-3.05
Cl 0.7561 0.7500 0.6250  2 P 2.75, 2 Sb 2.77, 4 Cl 2.98-3.05

# 7
The following is a DFT calculation (PBEsol) of crystalline SbPCl2 at its relaxed geometry.

Output
The calculation puts the density of states at the Fermi level at 0.44 states/eV/atom. As for the space group: No. 44. For the uncorrected formation energy, the calculation gives -0.0182 eV per atom. For the uncorrected energy, the calculation gives -28.87 eV per cell. The energy above the most stable polymorph in this dataset is 0 meV per atom.

a = 3.5497 Å, b = 4.3875 Å, c = 12.4062 Å
α = 90.00°, β = 90.00°, γ = 90.00°
Last column: nearest neighbours and their distance in Å.
Fractional coordinates of all 8 atoms:
Sb 0.0000 0.0000 0.0000  2 P 2.61
Sb 0.5000 0.5000 0.5000  2 P 2.61
P 0.0000 0.5000 0.3461  2 Sb 2.61, 4 Cl 2.82
P 0.5000 0.0000 0.8461  2 Sb 2.61, 4 Cl 2.82
Cl 0.0000 0.0000 0.5835  4 Sb 3.01
Cl 0.0000 0.5000 0.8426  4 P 2.82, 2 Sb 2.94
Cl 0.5000 0.0000 0.3426  4 P 2.82, 2 Sb 2.94
Cl 0.5000 0.5000 0.0835  4 Sb 3.01

# 8
The following is a DFT calculation (PBEsol) of crystalline SbPCl8 at its relaxed geometry.

Output
The calculation puts the density of states at the Fermi level at 0.00 states/eV/atom. As for the space group: No. 76. For the uncorrected formation energy, the calculation gives -0.6282 eV per atom. For the uncorrected energy, the calculation gives -130.77 eV per cell.

a = 7.2292 Å, b = 7.2292 Å, c = 24.4434 Å
α = 90.00°, β = 90.00°, γ = 90.00°
Last column: nearest neighbours and their distance in Å.
Fractional coordinates of all 40 atoms:
Sb 0.0427 0.7772 0.0000  5 Cl 2.32-2.36
Sb 0.2228 0.0427 0.2500  5 Cl 2.32-2.36
Sb 0.7772 0.9573 0.7500  5 Cl 2.32-2.36
Sb 0.9573 0.2228 0.5000  5 Cl 2.32-2.36
P 0.1528 0.2711 0.8945  3 Cl 2.04-2.12
P 0.2711 0.8472 0.6445  3 Cl 2.04-2.12
P 0.7289 0.1528 0.1445  3 Cl 2.04-2.12
P 0.8472 0.7289 0.3945  3 Cl 2.04-2.12
Cl 0.0354 0.5770 0.4436  1 P 2.12
Cl 0.0548 0.9100 0.7952  1 Sb 2.32
Cl 0.0900 0.0548 0.0452  1 Sb 2.32
Cl 0.1138 0.8295 0.1848  1 Sb 2.35
Cl 0.1705 0.1138 0.4348  1 Sb 2.35
Cl 0.1760 0.4423 0.8287  1 P 2.04
Cl 0.1935 0.2798 0.1845  1 Sb 2.35
Cl 0.2083 0.3358 0.5516  1 Sb 2.36
Cl 0.2410 0.5918 0.0532  1 Sb 2.35
Cl 0.2798 0.8065 0.9345  1 Sb 2.35
Cl 0.3208 0.6037 0.6836  1 P 2.04
Cl 0.3358 0.7917 0.3016  1 Sb 2.36
Cl 0.3963 0.3208 0.9336  1 P 2.04
Cl 0.4082 0.2410 0.3032  1 Sb 2.35
Cl 0.4230 0.0354 0.6936  1 P 2.12
Cl 0.4423 0.8240 0.5787  1 P 2.04
Cl 0.5577 0.1760 0.0787  1 P 2.04
Cl 0.5770 0.9646 0.1936  1 P 2.12
Cl 0.5918 0.7590 0.8032  1 Sb 2.35
Cl 0.6037 0.6792 0.4336  1 P 2.04
Cl 0.6642 0.2083 0.8016  1 Sb 2.36
Cl 0.6792 0.3963 0.1836  1 P 2.04
Cl 0.7202 0.1935 0.4345  1 Sb 2.35
Cl 0.7590 0.4082 0.5532  1 Sb 2.35
Cl 0.7917 0.6642 0.0516  1 Sb 2.36
Cl 0.8065 0.7202 0.6845  1 Sb 2.35
Cl 0.8240 0.5577 0.3287  1 P 2.04
Cl 0.8295 0.8862 0.9348  1 Sb 2.35
Cl 0.8862 0.1705 0.6848  1 Sb 2.35
Cl 0.9100 0.9452 0.5452  1 Sb 2.32
Cl 0.9452 0.0900 0.2952  1 Sb 2.32
Cl 0.9646 0.4230 0.9436  1 P 2.12

# 9
The following is a DFT calculation (PBEsol) of crystalline Sb2PCl at its relaxed geometry.

Output
The calculation puts the density of states at the Fermi level at 0.70 states/eV/atom. As for the space group: No. 119. For the uncorrected formation energy, the calculation gives 0.2710 eV per atom. For the uncorrected energy, the calculation gives -31.66 eV per cell. The energy above the most stable polymorph in this dataset is 258 meV per atom.

a = 3.9446 Å, b = 3.9446 Å, c = 11.4630 Å
α = 90.00°, β = 90.00°, γ = 90.00°
Last column: nearest neighbours and their distance in Å.
Fractional coordinates of all 8 atoms:
Sb 0.0000 0.0000 0.0000  4 Cl 2.79
Sb 0.0000 0.5000 0.2500  4 P 2.79
Sb 0.5000 0.0000 0.7500  4 P 2.79
Sb 0.5000 0.5000 0.5000  4 Cl 2.79
P 0.0000 0.5000 0.7500  4 Sb 2.79
P 0.5000 0.0000 0.2500  4 Sb 2.79
Cl 0.0000 0.0000 0.5000  4 Sb 2.79
Cl 0.5000 0.5000 0.0000  4 Sb 2.79

# 10
The following is a DFT calculation (PBEsol) of crystalline SbPCl2 at its relaxed geometry.

Output
The calculation puts the density of states at the Fermi level at 0.58 states/eV/atom. As for the space group: No. 139. For the uncorrected formation energy, the calculation gives 0.2841 eV per atom. For the uncorrected energy, the calculation gives -26.46 eV per cell. The energy above the most stable polymorph in this dataset is 302 meV per atom.

a = 4.2282 Å, b = 4.2282 Å, c = 8.7503 Å
α = 90.00°, β = 90.00°, γ = 90.00°
Last column: nearest neighbours and their distance in Å.
Fractional coordinates of all 8 atoms:
Sb 0.0000 0.0000 0.0000  4 P 2.99, 8 Cl 3.04
Sb 0.5000 0.5000 0.5000  4 P 2.99, 8 Cl 3.04
P 0.0000 0.0000 0.5000  4 Sb 2.99, 8 Cl 3.04
P 0.5000 0.5000 0.0000  4 Sb 2.99, 8 Cl 3.04
Cl 0.0000 0.5000 0.2500  4 Cl 2.99, 4 Sb 3.04, 4 P 3.04
Cl 0.0000 0.5000 0.7500  4 Cl 2.99, 4 Sb 3.04, 4 P 3.04
Cl 0.5000 0.0000 0.2500  4 Cl 2.99, 4 Sb 3.04, 4 P 3.04
Cl 0.5000 0.0000 0.7500  4 Cl 2.99, 4 Sb 3.04, 4 P 3.04

# 11
The following is a DFT calculation (PBEsol) of crystalline Sb3PCl at its relaxed geometry.

Output
The calculation puts the density of states at the Fermi level at 0.67 states/eV/atom. As for the space group: No. 221. For the uncorrected formation energy, the calculation gives 0.4850 eV per atom. For the uncorrected energy, the calculation gives -19.05 eV per cell.

a = 5.1839 Å, b = 5.1839 Å, c = 5.1839 Å
α = 90.00°, β = 90.00°, γ = 90.00°
Last column: nearest neighbours and their distance in Å.
Fractional coordinates of all 5 atoms:
Sb 0.0000 0.0000 0.5000  2 P 2.59
Sb 0.0000 0.5000 0.0000  2 P 2.59
Sb 0.5000 0.0000 0.0000  2 P 2.59
P 0.0000 0.0000 0.0000  6 Sb 2.59
Cl 0.5000 0.5000 0.5000  12 Sb 3.67

# 12
The following is a DFT calculation (PBEsol) of crystalline Sb2PCl at its relaxed geometry.

Output
The calculation puts the density of states at the Fermi level at 0.53 states/eV/atom. As for the space group: No. 166. For the uncorrected formation energy, the calculation gives 0.0128 eV per atom. For the uncorrected energy, the calculation gives -50.59 eV per cell. The energy above the most stable polymorph in this dataset is 0 meV per atom.

a = 4.3455 Å, b = 4.3455 Å, c = 17.8865 Å
α = 90.00°, β = 90.00°, γ = 120.00°
Last column: nearest neighbours and their distance in Å.
Fractional coordinates of all 12 atoms:
Sb 0.0000 0.0000 0.2290  3 P 2.75
Sb 0.0000 0.0000 0.7710  3 P 2.75
Sb 0.3333 0.6667 0.4376  3 P 2.75
Sb 0.3333 0.6667 0.8957  3 P 2.75
Sb 0.6667 0.3333 0.1043  3 P 2.75
Sb 0.6667 0.3333 0.5624  3 P 2.75
P 0.0000 0.0000 0.5000  6 Sb 2.75
P 0.3333 0.6667 0.1667  6 Sb 2.75
P 0.6667 0.3333 0.8333  6 Sb 2.75
Cl 0.0000 0.0000 0.0000  6 Sb 3.13
Cl 0.3333 0.6667 0.6667  6 Sb 3.13
Cl 0.6667 0.3333 0.3333  6 Sb 3.13

> Look up the uncorrected energy of the sixth one.

-56.50 eV per cell